# PBE Pr3Sm4Er2, optimized geometry
data_Pr3Sm4Er2
_symmetry_space_group_name_H-M 'P 3 m 1'
_symmetry_Int_Tables_number 156
_symmetry_space_group_name_Hall 'P 3 -2"'
_cell_length_a 3.6306
_cell_length_b 3.6306
_cell_length_c 27.0328
_cell_angle_alpha 90.00
_cell_angle_beta 90.00
_cell_angle_gamma 120.00
loop_
_atom_site_label
_atom_site_type_symbol
_atom_site_fract_x
_atom_site_fract_y
_atom_site_fract_z
Pr1 Pr 0.0000 0.0000 0.0000
Pr2 Pr 0.0000 0.0000 0.3372
Pr3 Pr 0.6667 0.3333 0.6721
Sm1 Sm 0.0000 0.0000 0.5593
Sm2 Sm 0.0000 0.0000 0.7851
Sm3 Sm 0.6667 0.3333 0.2295
Sm4 Sm 0.6667 0.3333 0.4519
Er1 Er 0.6667 0.3333 0.1053
Er2 Er 0.6667 0.3333 0.8893
# DFT formation energy	7.05	kJ/mol of atoms
# density of states at the Fermi level	1.807	states/eV per atom
# theoretical density	7.31	g/cm3
# volume	308.6	Å³ per cell